No. 1
First-principles (GGA-PBE) data for a relaxed structure of CoCuAs2, as listed in Alexandria via LeMat-Bulk.

abc: 2.842 2.916 7.297
angles: 90.00 90.00 90.00
Positions (direct):
Co (0.000, 0.000, 0.000)
Cu (0.000, 0.500, 0.500)
As (0.500, 0.500, 0.207)
As (0.500, 0.500, 0.793)

Computed properties:
- Formation energy from the elements: 0.10 eV/atom
- Energy relative to the lowest polymorph listed for this composition: 89 meV/atom
- Space-group type: No. 47
- M_tot: 0.000 μB per atom

No. 2
First-principles (GGA-PBE) data for a relaxed structure of CoCu2As, as listed in Alexandria via LeMat-Bulk.

abc: 3.488 3.488 8.179
angles: 90.00 90.00 90.00
Positions (direct):
Co (0.000, 0.000, 0.000)
Co (0.500, 0.500, 0.500)
Cu (0.000, 0.500, 0.250)
Cu (0.000, 0.500, 0.750)
Cu (0.500, 0.000, 0.250)
Cu (0.500, 0.000, 0.750)
As (0.000, 0.000, 0.500)
As (0.500, 0.500, 0.000)

Computed properties:
- Formation energy from the elements: 0.10 eV/atom
- Space-group type: No. 139
- M_tot: 0.000 μB per atom

No. 3
First-principles (GGA-PBE) data for a relaxed structure of CoCu2As, as listed in Alexandria via LeMat-Bulk.

abc: 2.721 4.527 4.197
angles: 90.00 90.95 90.00
Positions (direct):
Co (0.000, 0.000, 0.000)
Cu (0.268, 0.500, 0.756)
Cu (0.732, 0.500, 0.244)
As (0.500, 0.000, 0.500)

Computed properties:
- Formation energy from the elements: 0.18 eV/atom
- Space-group type: No. 10
- M_tot: 0.273 μB per atom

No. 4
First-principles (GGA-PBE) data for a relaxed structure of CoCu2As, as listed in Alexandria via LeMat-Bulk.

abc: 4.908 9.114 2.784
angles: 90.00 123.88 90.00
Positions (direct):
Co (0.000, 0.000, 0.000)
Co (0.500, 0.500, 0.000)
Cu (0.250, 0.250, 0.500)
Cu (0.250, 0.750, 0.500)
Cu (0.750, 0.250, 0.500)
Cu (0.750, 0.750, 0.500)
As (0.000, 0.500, 0.000)
As (0.500, 0.000, 0.000)

Computed properties:
- Formation energy from the elements: 0.17 eV/atom
- Space-group type: No. 12
- M_tot: 0.185 μB per atom

No. 5
First-principles (GGA-PBE) data for a relaxed structure of CoCuAs2, as listed in Alexandria via LeMat-Bulk.

abc: 3.991 3.053 5.054
angles: 90.00 108.27 90.00
Positions (direct):
Co (0.000, 0.000, 0.000)
Cu (0.500, 0.500, 0.500)
As (0.000, 0.000, 0.500)
As (0.500, 0.500, 0.000)

Computed properties:
- Formation energy from the elements: 0.15 eV/atom
- Energy relative to the lowest polymorph listed for this composition: 135 meV/atom
- Space-group type: No. 10
- M_tot: 0.169 μB per atom

No. 6
First-principles (GGA-PBE) data for a relaxed structure of Co3CuAs, as listed in Alexandria via LeMat-Bulk.

abc: 4.307 4.307 4.307
angles: 90.00 90.00 90.00
Positions (direct):
Co (0.000, 0.000, 0.500)
Co (0.000, 0.500, 0.000)
Co (0.500, 0.000, 0.000)
Cu (0.000, 0.000, 0.000)
As (0.500, 0.500, 0.500)

Computed properties:
- Formation energy from the elements: 1.19 eV/atom
- Energy relative to the lowest polymorph listed for this composition: 371 meV/atom
- Space-group type: No. 221
- M_tot: 1.073 μB per atom

Q: The highest M_tot belongs to which entry?
A: Co3CuAs

Q: formation energy from the elements of number 5 (CoCuAs2)?
A: 0.15 eV/atom